## Sm2In2SnHg4 (PBE-GGA)

Data for an optimized crystal structure of Sm2In2SnHg4.

For the volume, the calculation gives 524 Å³/cell. The formation energy is -0.149 eV/atom. As for the total magnetization: 0.00 Bohr magnetons per cell.

The structure belongs to space group I4/mmm (No. 139); the cell edges are 7.124, 7.124 and 10.331 Å and the angles 90.00°, 90.00° and 90.00°. The distinct sites, in fractional coordinates, are Sm at (0.000, 0.000, 0.207), In at (0.000, 0.500, 0.250), Sn at (0.000, 0.000, 0.500) and Hg at (0.224, 0.224, 0.000).